Density functional theory data (PBE-GGA) for an optimized crystal structure of KBaLa2.

Cell and atoms, written as POSCAR:
```
KBaLa2
1.0
-3.589 13.787 -0.567
-5.579 12.856 2.627
-1.838 13.840 2.892
Ba La K
1 2 1
direct
0.250 0.250 0.250
0.996 0.996 0.996
0.504 0.504 0.504
0.750 0.750 0.750
```

## Properties
total moment = 0.080 μB per formula unit
distance to the lowest polymorph of the same formula = 51 kJ/mol of formula units
E_form = 0.29 eV per atom
symmetry = No. 166
DOS(E_F) = 6.6 states/eV/f.u.

---

Density functional theory data (PBE-GGA) for an optimized crystal structure of SrReN3.

Cell and atoms, written as POSCAR:
```
SrReN3
1.0
11.962 0.000 0.074
4.932 5.685 -2.262
-4.932 5.685 2.262
Sr N Re
4 12 4
direct
0.819 0.571 0.654
0.181 0.429 0.346
0.681 0.154 0.071
0.319 0.846 0.929
0.974 0.944 0.111
0.153 0.582 0.633
0.653 0.867 0.918
0.529 0.326 0.249
0.474 0.389 0.556
0.526 0.611 0.444
0.471 0.674 0.751
0.029 0.251 0.174
0.026 0.056 0.889
0.347 0.133 0.082
0.847 0.418 0.367
0.971 0.749 0.826
0.750 0.171 0.671
0.750 0.553 0.053
0.250 0.829 0.329
0.250 0.447 0.947
```

## Properties
total moment = 0.000 μB per formula unit
raw total energy = -8.17 eV/atom
symmetry = No. 15
DOS(E_F) = 0.0 states/eV/f.u.

---

Density functional theory data (PBE-GGA) for an optimized crystal structure of Tl2As.

Cell and atoms, written as POSCAR:
```
Tl2As
1.0
2.243 -7.178 0.000
2.243 7.178 0.000
0.000 0.000 5.334
Tl As
4 2
direct
0.242 0.758 0.750
0.562 0.438 0.750
0.758 0.242 0.250
0.438 0.562 0.250
0.873 0.127 0.750
0.127 0.873 0.250
```

## Properties
total moment = 0.000 μB per formula unit
distance to the lowest polymorph of the same formula = 27 kJ/mol of formula units
E_form = 0.12 eV per atom
symmetry = No. 63
DOS(E_F) = 0.9 states/eV/f.u.

---

Density functional theory data (PBE-GGA) for an optimized crystal structure of ReNi2Br.

Cell and atoms, written as POSCAR:
```
ReNi2Br
1.0
-2.388 3.415 -1.232
-2.464 1.337 -3.320
-4.375 -2.136 2.286
Ni Re Br
2 1 1
direct
0.473 0.473 0.576
0.027 0.027 0.924
0.750 0.750 0.750
0.250 0.250 0.250
```

## Properties
total moment = 0.000 μB per formula unit
distance to the lowest polymorph of the same formula = 171 kJ/mol of formula units
symmetry = No. 12
DOS(E_F) = 4.5 states/eV/f.u.

---

Density functional theory data (PBE-GGA) for an optimized crystal structure of ReWS4.

Cell and atoms, written as POSCAR:
```
ReWS4
1.0
-5.965 -2.435 0.219
3.084 -2.600 3.819
-0.254 7.069 2.448
S W Re
8 2 2
direct
0.712 0.463 0.390
0.083 0.296 0.104
0.179 0.927 0.390
0.821 0.073 0.610
0.917 0.704 0.896
0.480 0.192 0.896
0.520 0.808 0.104
0.288 0.537 0.610
0.557 0.307 0.615
0.443 0.693 0.385
0.657 0.907 0.813
0.343 0.093 0.187
```

## Properties
total moment = 0.000 μB per formula unit
raw total energy = -7.33 eV/atom
symmetry = No. 15
DOS(E_F) = 3.5 states/eV/f.u.

---

Density functional theory data (PBE-GGA) for an optimized crystal structure of PaPb2AuS5.

Cell and atoms, written as POSCAR:
```
PaPb2AuS5
1.0
4.075 0.000 0.000
-2.038 8.828 0.000
0.000 0.000 12.860
Pb S Au Pa
4 10 2 2
direct
0.102 0.204 0.297
0.903 0.805 0.149
0.097 0.195 0.649
0.898 0.796 0.797
0.933 0.865 0.565
0.067 0.135 0.065
0.364 0.729 0.004
0.505 0.010 0.782
0.715 0.431 0.893
0.636 0.271 0.504
0.495 0.990 0.282
0.269 0.538 0.663
0.731 0.462 0.163
0.285 0.569 0.393
0.424 0.847 0.445
0.576 0.153 0.945
0.215 0.429 0.027
0.785 0.571 0.527
```

## Properties
total moment = 0.000 μB per formula unit
raw total energy = -5.36 eV/atom
symmetry = No. 36

---

Density functional theory data (PBE-GGA) for an optimized crystal structure of CuIr.

Cell and atoms, written as POSCAR:
```
CuIr
1.0
7.504 0.000 0.000
0.000 7.504 0.000
0.000 0.000 7.504
Cu Ir
8 8
direct
0.198 0.198 0.198
0.802 0.198 0.802
0.198 0.802 0.802
0.698 0.698 0.698
0.302 0.302 0.698
0.802 0.802 0.198
0.698 0.302 0.302
0.302 0.698 0.302
0.622 0.378 0.622
0.878 0.122 0.122
0.378 0.622 0.622
0.122 0.878 0.122
0.122 0.122 0.878
0.378 0.378 0.378
0.622 0.622 0.378
0.878 0.878 0.878
```

## Properties
total moment = 0.000 μB per formula unit
E_form = 1.46 eV per atom
symmetry = No. 217
DOS(E_F) = 2.5 states/eV/f.u.

---

Density functional theory data (PBE-GGA) for an optimized crystal structure of YCrPt2.

Cell and atoms, written as POSCAR:
```
YCrPt2
1.0
-3.581 3.543 -1.581
-5.175 -0.139 -1.034
-2.235 1.423 3.063
Pt Y Cr
2 1 1
direct
0.750 0.750 0.750
0.000 0.000 0.000
0.500 0.500 0.500
0.250 0.250 0.250
```

## Properties
total moment = 4.407 μB per formula unit
distance to the lowest polymorph of the same formula = 31 kJ/mol of formula units
E_form = -0.57 eV per atom
symmetry = No. 119
DOS(E_F) = 2.6 states/eV/f.u.

---

Density functional theory data (PBE-GGA) for an optimized crystal structure of La8Si3I4F.

Cell and atoms, written as POSCAR:
```
La8Si3I4F
1.0
-7.658 0.145 3.960
-3.373 -5.947 -6.304
7.060 -2.364 4.352
Si La I F
3 8 4 1
direct
0.000 0.500 0.500
0.500 0.500 0.000
0.500 0.500 0.500
0.230 0.695 0.965
0.266 0.305 0.035
0.734 0.695 0.965
0.770 0.305 0.035
0.734 0.702 0.468
0.231 0.695 0.461
0.769 0.305 0.539
0.266 0.298 0.532
0.500 0.000 0.500
0.500 0.000 0.000
0.000 0.000 0.500
0.000 0.000 0.000
0.000 0.500 0.000
```

## Properties
total moment = 0.000 μB per formula unit
raw total energy = -5.16 eV/atom
symmetry = No. 166
DOS(E_F) = 9.6 states/eV/f.u.

---

Density functional theory data (PBE-GGA) for an optimized crystal structure of NbB3Br.

Cell and atoms, written as POSCAR:
```
NbB3Br
1.0
4.503 0.000 0.000
0.000 4.503 0.000
0.000 0.000 4.503
Nb Br B
1 1 3
direct
0.000 0.000 0.000
0.500 0.500 0.500
0.500 0.000 0.000
0.000 0.500 0.000
0.000 0.000 0.500
```

## Properties
total moment = 1.169 μB per formula unit
distance to the lowest polymorph of the same formula = 0 kJ/mol of formula units
symmetry = No. 221
DOS(E_F) = 8.2 states/eV/f.u.

---

> Which value of total moment does entry 2 give?

0.000 μB per formula unit